# PBE+U PaCuMoO6, relaxed
data_PaCuMoO6
_symmetry_space_group_name_H-M 'P -3 1 c'
_symmetry_Int_Tables_number 163
_symmetry_space_group_name_Hall '-P 3 2c'
_cell_length_a 5.5216
_cell_length_b 5.5216
_cell_length_c 8.9524
_cell_angle_alpha 90.00
_cell_angle_beta 90.00
_cell_angle_gamma 120.00
loop_
_atom_site_label
_atom_site_type_symbol
_atom_site_fract_x
_atom_site_fract_y
_atom_site_fract_z
Pa1 Pa 0.3333 0.6667 0.2500
Cu1 Cu 0.0000 0.0000 0.0000
Mo1 Mo 0.3333 0.6667 0.7500
O1 O 0.0297 0.3697 0.6322
# - Crystal system: trigonal
# - Calculated total energy: -68.48 eV per formula unit
# - M_tot: 0.04 μB per formula unit